A geometry-optimized Ba2ZnSb5 structure, computed with PBE-GGA.

Summary:
raw total energy = -3.631 eV per atom
D(E_F) = 4.43 states/eV per cell
formation energy (no corrections) = -0.414 eV per atom

Cell and atoms, written as POSCAR:
```
Ba2ZnSb5
1.0
-6.946 0.560 1.357
0.629 -4.789 5.197
4.127 5.922 0.114
Ba Zn Sb
2 1 5
Cartesian
-3.004 2.123 2.321
0.783 -0.552 4.240
0.117 0.459 0.409
-0.753 4.950 2.471
2.658 2.540 4.201
-0.469 2.792 4.812
-2.645 -0.098 5.074
2.375 4.698 1.860
```